(1)
Computed, not measured: a geometry-optimized CaThCd14 structure at the PBE level of DFT.

Cell and atoms, written as CIF:
```
data_CaThCd14
_cell_length_a 6.717
_cell_length_b 6.717
_cell_length_c 8.490
_cell_angle_alpha 90.00
_cell_angle_beta 90.00
_cell_angle_gamma 90.00
_symmetry_space_group_name_H-M 'P 4/m m m'
_symmetry_Int_Tables_number 123
_symmetry_space_group_name_Hall '-P 4 2'
loop_
_atom_site_label
_atom_site_type_symbol
_atom_site_fract_x
_atom_site_fract_y
_atom_site_fract_z
Ca1 Ca 0.000 0.000 0.000
Th1 Th 0.500 0.500 0.000
Cd1 Cd 0.000 0.000 0.500
Cd2 Cd 0.000 0.500 0.000
Cd3 Cd 0.000 0.500 0.500
Cd4 Cd 0.248 0.248 0.264
Cd5 Cd 0.500 0.500 0.500
```

Results
- ρ (g/cm³) = 8.003
- crystal system = tetragonal
- formation energy from the elements (eV per atom) = -0.093



(2)
Computed, not measured: a geometry-optimized Pa2TaCoN6 structure at the PBE level of DFT.

Cell and atoms, written as CIF:
```
data_Pa2TaCoN6
_cell_length_a 5.316
_cell_length_b 5.316
_cell_length_c 4.874
_cell_angle_alpha 90.00
_cell_angle_beta 90.00
_cell_angle_gamma 90.00
_symmetry_space_group_name_H-M 'P 4 m m'
_symmetry_Int_Tables_number 99
_symmetry_space_group_name_Hall 'P 4 -2'
loop_
_atom_site_label
_atom_site_type_symbol
_atom_site_fract_x
_atom_site_fract_y
_atom_site_fract_z
Pa1 Pa 0.000 0.500 0.000
Ta1 Ta 0.000 0.000 0.585
Co1 Co 0.500 0.500 0.746
N1 N 0.000 0.000 0.194
N2 N 0.250 0.250 0.739
N3 N 0.500 0.500 0.133
```

Results
- ρ (g/cm³) = 9.475
- formation energy from raw total energies (eV/atom) = -0.861
- crystal system = tetragonal